1.
ZnRh: relaxed, PBEsol.

```
ZnRh
1.0
2.750 0.000 0.000
-1.375 2.381 0.000
0.000 0.000 8.162
Zn Rh
2 2
direct
0.333 0.667 0.250
0.667 0.333 0.750
0.000 0.000 0.000
0.000 0.000 0.500
```

## Properties
M_tot in μB/atom: 0.000
Calculated total energy in eV/atom: -5.14

2.
ZnRh3: relaxed, PBEsol.

```
ZnRh3
1.0
1.344 0.776 8.543
-1.344 0.776 8.543
0.000 -1.551 8.543
Zn Rh
1 3
direct
0.000 0.000 0.000
0.251 0.251 0.251
0.500 0.500 0.500
0.749 0.749 0.749
```

## Properties
M_tot in μB/atom: 0.000
Calculated total energy in eV/atom: -6.61

3.
Zn2Rh: relaxed, PBEsol.

```
Zn2Rh
1.0
0.000 5.567 5.567
5.567 0.000 5.567
5.567 5.567 0.000
Zn Rh
16 8
direct
0.000 0.000 0.000
0.000 0.000 0.500
0.000 0.500 0.000
0.181 0.181 0.569
0.181 0.569 0.181
0.181 0.569 0.569
0.431 0.431 0.819
0.431 0.819 0.431
0.431 0.819 0.819
0.500 0.000 0.000
0.569 0.181 0.181
0.569 0.181 0.569
0.569 0.569 0.181
0.819 0.431 0.431
0.819 0.431 0.819
0.819 0.819 0.431
0.152 0.783 0.783
0.217 0.217 0.217
0.217 0.217 0.848
0.217 0.848 0.217
0.783 0.152 0.783
0.783 0.783 0.152
0.783 0.783 0.783
0.848 0.217 0.217
```

## Properties
M_tot in μB/atom: 0.000
Calculated total energy in eV/atom: -4.03

4.
Zn3Rh: relaxed, PBEsol.

```
Zn3Rh
1.0
2.658 -3.451 0.000
2.658 3.451 0.000
0.000 0.000 2.924
Zn Rh
3 1
direct
0.000 0.000 0.000
0.000 0.500 0.500
0.500 0.000 0.500
0.500 0.500 0.000
```

## Properties
M_tot in μB/atom: 0.000
Calculated total energy in eV/atom: -3.49

5.
ZnRh2: relaxed, PBEsol.

```
ZnRh2
1.0
4.827 -1.353 0.000
4.827 1.353 0.000
-1.485 0.000 6.138
Zn Rh
2 4
direct
0.000 0.000 0.000
0.676 0.676 0.344
0.278 0.278 0.061
0.341 0.341 0.673
0.617 0.617 0.727
0.953 0.953 0.389
```

## Properties
M_tot in μB/atom: 0.000
Calculated total energy in eV/atom: -6.13

6.
Zn3Rh: relaxed, PBEsol.

```
Zn3Rh
1.0
5.321 0.000 0.000
-2.660 4.608 0.000
0.000 0.000 4.322
Zn Rh
6 2
direct
0.168 0.336 0.250
0.168 0.832 0.250
0.336 0.168 0.750
0.664 0.832 0.250
0.832 0.168 0.750
0.832 0.664 0.750
0.333 0.667 0.750
0.667 0.333 0.250
```

## Properties
M_tot in μB/atom: 0.000
Calculated total energy in eV/atom: -3.54

7.
Zn2Rh: relaxed, PBEsol.

```
Zn2Rh
1.0
1.487 -6.454 0.000
1.487 6.454 0.000
0.000 0.000 4.136
Zn Rh
4 2
direct
0.065 0.935 0.750
0.268 0.732 0.250
0.732 0.268 0.750
0.935 0.065 0.250
0.398 0.602 0.750
0.602 0.398 0.250
```

## Properties
M_tot in μB/atom: 0.000
Calculated total energy in eV/atom: -4.14

8.
Zn2Rh: relaxed, PBEsol.

```
Zn2Rh
1.0
4.087 0.000 0.000
-2.043 3.539 0.000
0.000 0.000 2.746
Zn Rh
2 1
direct
0.333 0.667 0.000
0.667 0.333 0.000
0.000 0.000 0.500
```

## Properties
M_tot in μB/atom: 0.000
Calculated total energy in eV/atom: -4.07

9.
Zn7Rh: relaxed, PBEsol.

```
Zn7Rh
1.0
0.000 3.781 3.781
3.781 0.000 3.781
3.781 3.781 0.000
Zn Rh
7 1
direct
0.000 0.000 0.000
0.000 0.000 0.500
0.000 0.500 0.000
0.000 0.500 0.500
0.500 0.000 0.000
0.500 0.000 0.500
0.500 0.500 0.000
0.500 0.500 0.500
```

## Properties
M_tot in μB/atom: 0.000
Calculated total energy in eV/atom: -2.57

10.
Zn3Rh: relaxed, PBEsol.

```
Zn3Rh
1.0
2.928 0.000 0.000
0.000 4.192 0.000
0.000 0.000 4.367
Zn Rh
3 1
direct
0.000 0.000 0.000
0.000 0.500 0.380
0.500 0.500 0.872
0.500 0.000 0.502
```

## Properties
M_tot in μB/atom: 0.000
Calculated total energy in eV/atom: -3.49

11.
Zn2Rh: relaxed, PBEsol.

```
Zn2Rh
1.0
4.758 -1.416 0.000
4.758 1.416 0.000
-1.537 0.000 5.972
Zn Rh
4 2
direct
0.000 0.000 0.000
0.053 0.053 0.592
0.377 0.377 0.275
0.718 0.718 0.927
0.340 0.340 0.675
0.659 0.659 0.319
```

## Properties
M_tot in μB/atom: 0.000
Calculated total energy in eV/atom: -4.04

12.
Zn5Rh4: relaxed, PBEsol.

```
Zn5Rh4
1.0
-3.931 3.931 1.927
3.931 -3.931 1.927
3.931 3.931 -1.927
Zn Rh
5 4
direct
0.000 0.000 0.000
0.330 0.330 0.661
0.330 0.670 0.000
0.670 0.330 0.000
0.670 0.670 0.339
0.000 0.327 0.327
0.000 0.673 0.673
0.327 0.000 0.327
0.673 0.000 0.673
```

## Properties
M_tot in μB/atom: 0.000
Calculated total energy in eV/atom: -4.79

13.
ZnRh3: relaxed, PBEsol.

```
ZnRh3
1.0
2.691 0.000 0.000
-1.345 2.330 0.000
0.000 0.000 8.531
Zn Rh
1 3
direct
0.000 0.000 0.000
0.000 0.000 0.500
0.333 0.667 0.247
0.333 0.667 0.753
```

## Properties
M_tot in μB/atom: 0.000
Calculated total energy in eV/atom: -6.59

14.
Zn11Rh2: relaxed, PBEsol.

```
Zn11Rh2
1.0
-4.472 4.472 4.472
4.472 -4.472 4.472
4.472 4.472 -4.472
Zn Rh
22 4
direct
0.000 0.000 0.786
0.000 0.269 0.649
0.000 0.356 0.356
0.000 0.644 0.644
0.000 0.649 0.269
0.000 0.786 0.000
0.214 0.214 0.214
0.269 0.000 0.649
0.269 0.649 0.000
0.351 0.351 0.620
0.351 0.620 0.351
0.356 0.000 0.356
0.356 0.356 0.000
0.380 0.731 0.731
0.620 0.351 0.351
0.644 0.000 0.644
0.644 0.644 0.000
0.649 0.000 0.269
0.649 0.269 0.000
0.731 0.380 0.731
0.731 0.731 0.380
0.786 0.000 0.000
0.000 0.000 0.345
0.000 0.345 0.000
0.345 0.000 0.000
0.655 0.655 0.655
```

## Properties
M_tot in μB/atom: 0.000
Calculated total energy in eV/atom: -2.84

15.
Zn3Rh: relaxed, PBEsol.

```
Zn3Rh
1.0
2.764 0.000 0.000
-1.382 2.394 0.000
0.000 0.000 8.271
Zn Rh
3 1
direct
0.000 0.000 0.000
0.667 0.333 0.256
0.667 0.333 0.744
0.000 0.000 0.500
```

## Properties
M_tot in μB/atom: 0.000
Calculated total energy in eV/atom: -3.37

16.
ZnRh3: relaxed, PBEsol.

```
ZnRh3
1.0
4.648 0.000 0.000
0.000 8.637 0.000
0.000 0.000 5.332
Zn Rh
4 12
direct
0.079 0.250 0.128
0.421 0.750 0.628
0.579 0.250 0.372
0.921 0.750 0.872
0.081 0.250 0.630
0.245 0.502 0.377
0.245 0.998 0.377
0.255 0.002 0.877
0.255 0.498 0.877
0.419 0.750 0.130
0.581 0.250 0.870
0.745 0.502 0.123
0.745 0.998 0.123
0.755 0.002 0.623
0.755 0.498 0.623
0.919 0.750 0.370
```

## Properties
M_tot in μB/atom: 0.000
Calculated total energy in eV/atom: -6.62

17.
Zn3Rh: relaxed, PBEsol.

```
Zn3Rh
1.0
-1.859 1.859 7.658
1.859 -1.859 7.658
1.859 1.859 -7.658
Zn Rh
6 2
direct
0.000 0.500 0.500
0.128 0.128 0.000
0.250 0.750 0.500
0.500 0.000 0.500
0.750 0.250 0.500
0.872 0.872 0.000
0.379 0.379 0.000
0.621 0.621 0.000
```

## Properties
M_tot in μB/atom: 0.000
Calculated total energy in eV/atom: -3.57

18.
ZnRh: relaxed, PBEsol.

```
ZnRh
1.0
1.378 0.796 4.064
-1.378 0.796 4.064
0.000 -1.592 4.064
Zn Rh
1 1
direct
0.000 0.000 0.000
0.500 0.500 0.500
```

## Properties
M_tot in μB/atom: 0.000
Calculated total energy in eV/atom: -5.13

19.
ZnRh3: relaxed, PBEsol.

```
ZnRh3
1.0
2.693 0.000 0.000
0.000 4.322 0.000
0.000 0.000 4.594
Zn Rh
1 3
direct
0.000 0.000 0.000
0.000 0.500 0.659
0.500 0.000 0.500
0.500 0.500 0.157
```

## Properties
M_tot in μB/atom: 0.000
Calculated total energy in eV/atom: -6.61

20.
ZrZn2Rh: relaxed, PBEsol.

```
ZrZn2Rh
1.0
3.082 0.000 0.000
0.000 3.082 0.000
0.000 0.000 6.456
Zr Zn Rh
1 2 1
direct
0.000 0.000 0.000
0.500 0.500 0.290
0.500 0.500 0.710
0.000 0.000 0.500
```

## Properties
M_tot in μB/atom: 0.000
Calculated total energy in eV/atom: -5.44